Entry 1:
8
Lattice="-1.773 -2.004 3.174 2.256 -1.018 3.333 -1.912 6.851 5.972" Properties=species:S:1:pos:R:3 comment="ErGa4Cu2Tc, optimized geometry, DFT PBE" formation_enthalpy_0k_ev_per_atom=-0.215 vol_a3_per_atom=16.74 pbc="T T T"
Er 0.000 0.000 0.000
Ga -1.339 4.281 7.384
Ga -0.323 0.035 7.985
Ga -1.105 3.794 4.493
Ga -0.090 -0.452 5.094
Cu -0.974 2.500 9.179
Cu -0.455 1.329 3.299
Tc -0.714 1.914 6.239

***

Entry 2:
4
Lattice="5.071 0.000 0.000 2.535 4.391 0.000 2.535 1.464 4.140" Properties=species:S:1:pos:R:3 comment="ErThGaCu, optimized geometry, DFT PBE" formation_enthalpy_0k_ev_per_atom=-0.304 vol_a3_per_atom=23.05 pbc="T T T"
Cu 7.606 4.391 3.105
Ga 2.535 1.464 1.035
Th 5.071 2.928 2.070
Er 0.000 0.000 0.000

***

Entry 3:
7
Lattice="-0.898 -3.615 -2.336 -0.332 -3.894 2.015 -9.318 -1.098 1.141" Properties=species:S:1:pos:R:3 comment="Er2ThGa2Cu2, optimized geometry, DFT PBE" formation_enthalpy_0k_ev_per_atom=-0.363 vol_a3_per_atom=21.77 pbc="T T T"
Er -5.945 -1.630 0.668
Er -4.602 -6.977 0.151
Th 0.000 0.000 0.000
Ga -8.172 -6.414 0.651
Ga -2.376 -2.193 0.168
Cu -2.713 -4.707 0.051
Cu -7.835 -3.899 0.769

***

Entry 4:
4
Lattice="4.701 0.000 0.000 2.351 4.071 0.000 2.351 1.357 3.838" Properties=species:S:1:pos:R:3 comment="ErTiGaCu, optimized geometry, DFT PBE" formation_enthalpy_0k_ev_per_atom=-0.256 vol_a3_per_atom=18.37 pbc="T T T"
Ti 2.351 1.357 0.960
Cu 4.701 2.714 1.919
Ga 0.000 0.000 0.000
Er 7.052 4.071 2.879

***

Entry 5:
4
Lattice="-0.487 -3.745 -3.185 -2.966 -3.798 1.088 -4.237 -0.610 -2.465" Properties=species:S:1:pos:R:3 comment="ErTmGaCu, optimized geometry, DFT PBE" formation_enthalpy_0k_ev_per_atom=-0.436 vol_a3_per_atom=21.31 pbc="T T T"
Tm -3.845 -4.076 -2.281
Cu -1.923 -2.038 -1.141
Ga -5.768 -6.115 -3.422
Er 0.000 0.000 0.000

***

Entry 6:
7
Lattice="4.342 0.000 0.000 2.171 3.760 0.000 2.171 1.253 9.031" Properties=species:S:1:pos:R:3 comment="Er2TmGa2Cu2, optimized geometry, DFT PBE" formation_enthalpy_0k_ev_per_atom=-0.397 vol_a3_per_atom=21.06 pbc="T T T"
Er 2.171 1.253 5.683
Er 6.512 3.760 3.348
Tm 0.000 0.000 0.000
Ga 6.512 3.760 7.164
Ga 2.171 1.253 1.867
Cu 4.342 2.507 1.710
Cu 4.342 2.507 7.321

***

Entry 7:
9
Lattice="-0.508 6.390 -0.723 -4.458 -3.528 -3.048 -1.072 -2.240 5.953" Properties=species:S:1:pos:R:3 comment="Er2Tm2Ga4Cu, optimized geometry, DFT PBE" formation_enthalpy_0k_ev_per_atom=-0.314 vol_a3_per_atom=22.23 pbc="T T T"
Er -3.822 -3.986 2.007
Er -1.708 -1.782 0.897
Tm -3.865 -0.011 -1.160
Tm -2.173 0.633 3.341
Ga -3.634 -3.214 -0.859
Ga -4.446 -1.084 1.827
Ga -1.896 -2.553 3.763
Ga -1.592 1.706 0.355
Cu 0.000 0.000 0.000

***

Entry 8:
9
Lattice="6.469 0.177 0.256 -2.950 5.760 -0.256 -2.950 -2.263 5.303" Properties=species:S:1:pos:R:3 comment="Y2Er2Ga4Cu, optimized geometry, DFT PBE" formation_enthalpy_0k_ev_per_atom=-0.352 vol_a3_per_atom=22.53 pbc="T T T"
Y 0.285 3.843 1.262
Y 0.285 -0.169 4.041
Er -4.068 2.412 3.481
Er -1.831 1.085 1.566
Ga -2.950 3.818 1.090
Ga -1.134 2.742 3.957
Ga -2.950 -0.321 3.957
Ga 1.704 0.932 1.346
Cu 0.000 0.000 0.000

***

Entry 9:
4
Lattice="-2.367 -0.239 4.380 1.422 -3.333 3.423 2.292 1.519 4.158" Properties=species:S:1:pos:R:3 comment="YErGaCu, optimized geometry, DFT PBE" formation_enthalpy_0k_ev_per_atom=-0.432 relative_energy_mev_per_atom=0 vol_a3_per_atom=21.90 pbc="T T T"
Y 1.010 -1.540 8.971
Cu 0.000 0.000 0.000
Ga 0.673 -1.027 5.980
Er 0.337 -0.513 2.990

***

Entry 10:
4
Lattice="-3.328 0.584 -0.808 -0.844 -3.147 1.205 -1.100 2.804 6.552" Properties=species:S:1:pos:R:3 comment="YErGaCu, optimized geometry, DFT PBE" formation_enthalpy_0k_ev_per_atom=-0.429 relative_energy_mev_per_atom=3 vol_a3_per_atom=21.75 pbc="T T T"
Y -2.746 0.400 4.127
Er -2.217 -0.948 0.977
Ga -0.949 2.418 5.651
Cu -0.382 0.973 2.275

***

Entry 11:
18
Lattice="9.285 1.832 1.300 6.179 7.169 1.300 6.179 3.597 6.336" Properties=species:S:1:pos:R:3 comment="Er2Zn3GaCu12, optimized geometry, DFT PBE" formation_enthalpy_0k_ev_per_atom=0.088 vol_a3_per_atom=16.26 pbc="T T T"
Er 13.900 8.091 5.739
Er 7.743 4.507 3.197
Zn 4.643 0.916 0.650
Zn 3.089 3.584 0.650
Zn 3.089 1.798 3.168
Ga 0.000 0.000 0.000
Cu 11.437 6.657 6.180
Cu 16.300 9.488 4.970
Cu 14.856 10.309 7.312
Cu 12.634 5.978 4.240
Cu 16.300 7.827 7.312
Cu 11.437 8.033 4.240
Cu 10.206 5.941 2.756
Cu 5.342 3.110 3.966
Cu 6.787 2.289 1.624
Cu 9.009 6.620 4.696
Cu 5.342 4.771 1.624
Cu 10.206 4.565 4.696

***

Entry 12:
9
Lattice="4.498 0.000 0.000 0.000 4.498 0.000 0.000 0.000 7.279" Properties=species:S:1:pos:R:3 comment="ErZnGa2Cu5, optimized geometry, DFT PBE" formation_enthalpy_0k_ev_per_atom=0.048 vol_a3_per_atom=16.36 pbc="T T T"
Er 0.000 0.000 3.640
Zn 0.000 0.000 0.000
Ga 2.249 2.249 1.188
Ga 2.249 2.249 6.091
Cu 0.000 2.249 2.018
Cu 2.249 0.000 2.018
Cu 0.000 2.249 5.262
Cu 2.249 0.000 5.262
Cu 2.249 2.249 3.640